Compound: AgPt2
Source: Alexandria
Functional: meta-GGA SCAN
Structure: PBEsol geometry

Summary:
* formation energy from the elements: 5.4 kJ per mole of atoms

Cell: 4.0155 11.7999 3.8862 Å, 90.00 90.00 90.00°
Space group Cmcm (No. 63)
Unique sites:
Ag1 0.0000 0.0832 0.2500
Pt1 0.0000 0.2521 0.7500
Pt2 0.0000 0.4169 0.2500